{
  "formula": "U2Tl3CrS6",
  "functional": "PBE",
  "state": "optimized geometry",
  "cell": [[3.365, -5.829, 0.000], [3.365, 5.829, 0.000], [-2.243, 0.000, 7.660]],
  "species": ["U", "U", "Tl", "Tl", "Tl", "Cr", "S", "S", "S", "S", "S", "S"],
  "frac_coords": [[0.166, 0.834, 0.000], [0.834, 0.166, 0.000], [0.000, 0.000, 0.500], [0.332, 0.668, 0.500], [0.668, 0.332, 0.500], [0.500, 0.500, 0.000], [0.117, 0.437, 0.810], [0.244, 0.244, 0.191], [0.437, 0.117, 0.810], [0.563, 0.883, 0.190], [0.756, 0.756, 0.809], [0.883, 0.563, 0.190]],
  "n_ef_per_ev_cell": 17.5,
  "magmom_total_mub_per_atom": 0.75,
  "formation_energy_uncorrected_ev_per_atom": -0.86
}